[1]
Material: Yb2GeS4
Method: DFT, PBE-GGA
State: relaxed

Structure (POSCAR):
```
Yb2GeS4
1.0
6.560 0.000 0.000
0.000 6.665 0.000
-2.275 0.000 7.330
Yb Ge S
4 2 8
direct
0.222 0.250 0.056 Yb
0.239 0.250 0.558 Yb
0.761 0.750 0.442 Yb
0.778 0.750 0.944 Yb
0.247 0.750 0.809 Ge
0.753 0.250 0.191 Ge
0.009 0.003 0.748 S
0.009 0.497 0.748 S
0.435 0.750 0.103 S
0.438 0.750 0.613 S
0.562 0.250 0.387 S
0.565 0.250 0.897 S
0.991 0.503 0.252 S
0.991 0.997 0.252 S
```

As for the uncorrected formation energy: -1.29 eV/atom. For the density of states at the Fermi level, the calculation gives 6.2247 states/eV/atom. As for the energy: -4.740 eV per atom. As for the magnetization: 0.07 μB per atom.

[2]
Material: Na3NbC
Method: DFT, PBE-GGA
State: relaxed

Structure (POSCAR):
```
Na3NbC
1.0
4.950 0.000 0.000
0.000 4.950 0.000
0.000 0.000 4.950
Na Nb C
3 1 1
direct
0.000 0.000 0.500 Na
0.000 0.500 0.000 Na
0.500 0.000 0.000 Na
0.500 0.500 0.500 Nb
0.000 0.000 0.000 C
```

The formation energy is 1.64 eV/atom. For the density of states at the Fermi level, the calculation gives 0.8210 states/eV/atom. As for the energy: -3.014 eV per atom. As for the magnetization: 0.73 μB per atom.

[3]
Material: LaSm5Hg3
Method: DFT, PBE-GGA
State: relaxed

Structure (POSCAR):
```
LaSm5Hg3
1.0
9.301 0.000 0.000
-4.650 8.055 0.000
0.000 0.000 7.108
La Sm Hg
2 10 6
direct
0.000 0.000 0.000 La
0.000 0.000 0.500 La
0.000 0.331 0.250 Sm
0.000 0.669 0.750 Sm
0.331 0.000 0.250 Sm
0.331 0.331 0.750 Sm
0.333 0.667 0.000 Sm
0.333 0.667 0.500 Sm
0.667 0.333 0.000 Sm
0.667 0.333 0.500 Sm
0.669 0.000 0.750 Sm
0.669 0.669 0.250 Sm
0.000 0.340 0.750 Hg
0.000 0.660 0.250 Hg
0.340 0.000 0.750 Hg
0.340 0.340 0.250 Hg
0.660 0.000 0.250 Hg
0.660 0.660 0.750 Hg
```

The formation energy is -0.28 eV/atom. For the density of states at the Fermi level, the calculation gives 1.0894 states/eV/atom. As for the energy: -3.548 eV per atom. As for the magnetization: 0.00 μB per atom.

[4]
Material: TaBe2Zn
Method: DFT, PBE-GGA
State: relaxed

Structure (POSCAR):
```
TaBe2Zn
1.0
2.659 0.000 0.000
0.000 4.652 0.000
0.000 0.000 8.547
Ta Be Zn
2 4 2
direct
0.000 0.000 0.000 Ta
0.500 0.500 0.500 Ta
0.000 0.500 0.234 Be
0.000 0.500 0.766 Be
0.500 0.000 0.266 Be
0.500 0.000 0.734 Be
0.000 0.000 0.500 Zn
0.500 0.500 0.000 Zn
```

The formation energy is 0.37 eV/atom. For the density of states at the Fermi level, the calculation gives 0.5011 states/eV/atom. As for the energy: -4.771 eV per atom. As for the magnetization: 0.00 μB per atom.

[5]
Material: V4MoPd2
Method: DFT, PBE-GGA
State: relaxed

Structure (POSCAR):
```
V4MoPd2
1.0
4.526 0.000 0.000
0.000 4.526 0.000
0.000 0.000 12.741
V Mo Pd
8 2 4
direct
0.000 0.000 0.192 V
0.000 0.000 0.808 V
0.000 0.500 0.000 V
0.000 0.500 0.500 V
0.500 0.000 0.000 V
0.500 0.000 0.500 V
0.500 0.500 0.308 V
0.500 0.500 0.692 V
0.000 0.000 0.000 Mo
0.500 0.500 0.500 Mo
0.000 0.000 0.388 Pd
0.000 0.000 0.612 Pd
0.500 0.500 0.112 Pd
0.500 0.500 0.888 Pd
```

The formation energy is 0.89 eV/atom. For the density of states at the Fermi level, the calculation gives 1.3586 states/eV/atom. As for the energy: -7.351 eV per atom. As for the magnetization: 0.81 μB per atom.

[6]
Material: Sr2TaCr
Method: DFT, PBE-GGA
State: relaxed

Structure (POSCAR):
```
Sr2TaCr
1.0
3.295 0.000 0.000
0.000 5.155 0.000
0.000 0.000 6.632
Sr Ta Cr
2 1 1
direct
0.000 0.000 0.248 Sr
0.000 0.000 0.752 Sr
0.500 0.500 0.000 Ta
0.500 0.500 0.500 Cr
```

The formation energy is 1.15 eV/atom. For the density of states at the Fermi level, the calculation gives 1.2151 states/eV/atom. As for the energy: -5.056 eV per atom. As for the magnetization: 0.71 μB per atom.

[7]
Material: Ga5CuO8
Method: DFT, PBE-GGA
State: relaxed

Structure (POSCAR):
```
Ga5CuO8
1.0
0.000 4.228 4.228
4.228 0.000 4.228
4.228 4.228 0.000
Ga Cu O
5 1 8
direct
0.000 0.000 0.000 Ga
0.135 0.622 0.622 Ga
0.622 0.135 0.622 Ga
0.622 0.622 0.135 Ga
0.622 0.622 0.622 Ga
0.250 0.250 0.250 Cu
0.388 0.388 0.388 O
0.388 0.388 0.837 O
0.388 0.837 0.388 O
0.401 0.866 0.866 O
0.837 0.388 0.388 O
0.866 0.401 0.866 O
0.866 0.866 0.401 O
0.866 0.866 0.866 O
```

As for the uncorrected formation energy: -1.63 eV/atom. For the density of states at the Fermi level, the calculation gives 0.4949 states/eV/atom. As for the energy: -5.833 eV per atom. As for the magnetization: 0.02 μB per atom.

[8]
Material: Sr2BeSb
Method: DFT, PBE-GGA
State: relaxed

Structure (POSCAR):
```
Sr2BeSb
1.0
4.703 0.000 0.000
0.000 4.703 0.000
0.000 0.000 6.589
Sr Be Sb
2 1 1
direct
0.000 0.000 0.000 Sr
0.500 0.500 0.497 Sr
0.500 0.500 0.996 Be
0.000 0.000 0.500 Sb
```

As for the uncorrected formation energy: 0.03 eV/atom. For the density of states at the Fermi level, the calculation gives 0.8387 states/eV/atom. As for the energy: -2.778 eV per atom. As for the magnetization: 0.21 μB per atom.

[9]
Material: Rb3TeF
Method: DFT, PBE-GGA
State: relaxed

Structure (POSCAR):
```
Rb3TeF
1.0
6.192 -7.697 0.000
6.192 7.697 0.000
-6.134 0.000 7.851
Rb Te F
12 4 4
direct
0.039 0.441 0.264 Rb
0.054 0.180 0.492 Rb
0.180 0.054 0.992 Rb
0.270 0.435 0.980 Rb
0.435 0.270 0.480 Rb
0.441 0.039 0.764 Rb
0.559 0.961 0.236 Rb
0.565 0.730 0.520 Rb
0.730 0.565 0.020 Rb
0.820 0.946 0.008 Rb
0.946 0.820 0.508 Rb
0.961 0.559 0.736 Rb
0.202 0.798 0.250 Te
0.369 0.631 0.750 Te
0.631 0.369 0.250 Te
0.798 0.202 0.750 Te
0.121 0.199 0.246 F
0.199 0.121 0.746 F
0.801 0.879 0.254 F
0.879 0.801 0.754 F
```

As for the uncorrected formation energy: -1.61 eV/atom. For the density of states at the Fermi level, the calculation gives 0.0000 states/eV/atom. As for the energy: -3.189 eV per atom. As for the magnetization: 0.00 μB per atom.

[10]
Material: BaMg2Sb
Method: DFT, PBE-GGA
State: relaxed

Structure (POSCAR):
```
BaMg2Sb
1.0
4.959 0.000 0.000
0.000 4.959 0.000
0.000 0.000 10.130
Ba Mg Sb
2 4 2
direct
0.000 0.000 0.000 Ba
0.500 0.500 0.500 Ba
0.000 0.500 0.250 Mg
0.000 0.500 0.750 Mg
0.500 0.000 0.250 Mg
0.500 0.000 0.750 Mg
0.000 0.000 0.500 Sb
0.500 0.500 0.000 Sb
```

As for the uncorrected formation energy: -0.25 eV/atom. For the density of states at the Fermi level, the calculation gives 0.3095 states/eV/atom. As for the energy: -2.559 eV per atom. As for the magnetization: 0.00 μB per atom.

[11]
Material: Tb3Y6HoSc2
Method: DFT, PBE-GGA
State: relaxed

Structure (POSCAR):
```
Tb3Y6HoSc2
1.0
3.050 -5.277 0.000
3.050 5.277 0.000
-2.028 0.000 11.451
Tb Y Ho Sc
3 6 1 2
direct
0.000 0.000 0.000 Tb
0.333 0.667 0.000 Tb
0.667 0.333 0.000 Tb
0.083 0.418 0.256 Y
0.246 0.246 0.744 Y
0.418 0.083 0.256 Y
0.582 0.917 0.744 Y
0.754 0.754 0.256 Y
0.917 0.582 0.744 Y
0.500 0.500 0.500 Ho
0.167 0.833 0.500 Sc
0.833 0.167 0.500 Sc
```

The formation energy is 0.04 eV/atom. For the density of states at the Fermi level, the calculation gives 1.5549 states/eV/atom. As for the energy: -5.784 eV per atom. As for the magnetization: 0.00 μB per atom.

[12]
Material: ZrAlZn11
Method: DFT, PBE-GGA
State: relaxed

Structure (POSCAR):
```
ZrAlZn11
1.0
2.632 -6.173 0.000
2.632 6.173 0.000
-2.573 0.000 6.142
Zr Al Zn
1 1 11
direct
0.000 0.000 0.000 Zr
0.000 0.000 0.500 Al
0.000 0.500 0.000 Zn
0.001 0.649 0.649 Zn
0.292 0.503 0.790 Zn
0.351 0.999 0.351 Zn
0.497 0.708 0.210 Zn
0.500 0.000 0.000 Zn
0.500 0.500 0.500 Zn
0.503 0.292 0.790 Zn
0.649 0.001 0.649 Zn
0.708 0.497 0.210 Zn
0.999 0.351 0.351 Zn
```

The formation energy is -0.09 eV/atom. For the density of states at the Fermi level, the calculation gives 0.2849 states/eV/atom. As for the energy: -2.116 eV per atom. As for the magnetization: 0.00 μB per atom.

[13]
Material: Ac4Ge2Pb5
Method: DFT, PBE-GGA
State: relaxed

Structure (POSCAR):
```
Ac4Ge2Pb5
1.0
8.100 0.000 0.000
0.000 4.690 0.000
-0.809 0.000 9.568
Ac Ge Pb
4 2 5
direct
0.215 0.000 0.358 Ac
0.230 0.000 0.907 Ac
0.770 0.000 0.093 Ac
0.785 0.000 0.642 Ac
0.083 0.500 0.121 Ge
0.917 0.500 0.879 Ge
0.140 0.500 0.632 Pb
0.454 0.500 0.161 Pb
0.500 0.500 0.500 Pb
0.546 0.500 0.839 Pb
0.860 0.500 0.368 Pb
```

The formation energy is -0.53 eV/atom. For the density of states at the Fermi level, the calculation gives 0.4611 states/eV/atom. As for the energy: -4.552 eV per atom. As for the magnetization: 0.00 μB per atom.

[14]
Material: Pr3ErP2N6
Method: DFT, PBE-GGA
State: relaxed

Structure (POSCAR):
```
Pr3ErP2N6
1.0
5.729 0.000 0.000
-2.864 4.961 0.000
0.000 0.000 6.419
Pr Er P N
3 1 2 6
direct
0.000 0.000 0.000 Pr
0.333 0.667 0.650 Pr
0.667 0.333 0.350 Pr
0.000 0.000 0.500 Er
0.333 0.667 0.172 P
0.667 0.333 0.828 P
0.181 0.362 0.286 N
0.181 0.819 0.286 N
0.362 0.181 0.714 N
0.638 0.819 0.286 N
0.819 0.181 0.714 N
0.819 0.638 0.714 N
```

As for the uncorrected formation energy: -1.16 eV/atom. As for the energy: -7.803 eV per atom. As for the magnetization: 0.00 μB per atom.

[15]
Material: La3Sm4Th2
Method: DFT, PBE-GGA
State: relaxed

Structure (POSCAR):
```
La3Sm4Th2
1.0
7.183 0.000 0.000
-1.818 8.468 0.000
-1.767 -2.037 10.200
La Sm Th
6 8 4
direct
0.035 0.171 0.452 La
0.256 0.503 0.991 La
0.365 0.171 0.774 La
0.635 0.829 0.226 La
0.744 0.497 0.009 La
0.965 0.829 0.548 La
0.064 0.842 0.894 Sm
0.145 0.831 0.235 Sm
0.332 0.477 0.336 Sm
0.470 0.835 0.559 Sm
0.530 0.165 0.441 Sm
0.668 0.523 0.664 Sm
0.855 0.169 0.765 Sm
0.936 0.158 0.106 Sm
0.170 0.528 0.659 Th
0.446 0.159 0.110 Th
0.554 0.841 0.890 Th
0.830 0.472 0.341 Th
```

The formation energy is 0.06 eV/atom. For the density of states at the Fermi level, the calculation gives 1.5326 states/eV/atom. As for the energy: -5.325 eV per atom. As for the magnetization: 0.00 μB per atom.